8
Lattice="2.551 1.473 8.348 -2.551 1.473 8.348 0.000 -2.946 8.348" Properties=species:S:1:pos:R:3 comment="PBE Ho4MgZn2Au, optimized geometry" formation_enthalpy_0k_ev_per_fu=-3.311 spacegroup=R-3m vol_a3_per_cell=188.3 e_tot_ev_per_atom=-3.630 pbc="T T T"
Ho 0.000 0.000 2.989
Ho 0.000 0.000 9.296
Ho 0.000 0.000 15.749
Ho 0.000 0.000 22.056
Mg 0.000 0.000 12.522
Zn 0.000 0.000 6.012
Zn 0.000 0.000 19.033
Au 0.000 0.000 0.000